# Nd2YCd8

A relaxed Nd2YCd8 crystal (GGA-PBE, the Alexandria database).

Values from the calculation:
The total energy is -2.379 eV per atom. The calculation puts the formation energy at -0.26 eV/atom.

abc: 16.0352 5.0409 7.0851
angles: 90.00 106.95 90.00
Space group C2/m (No. 12)
Unique sites:
Nd1 0.2156 0.0000 0.1498 [4 per cell]
Y1 0.0000 0.5000 0.5000 [2 per cell]
Cd1 0.0132 0.0000 0.2160 [4 per cell]
Cd2 0.0886 0.5000 0.9614 [4 per cell]
Cd3 0.1438 0.0000 0.6271 [4 per cell]
Cd4 0.1720 0.5000 0.3919 [4 per cell]